Entry 1:
Below is Ag3IO after structural relaxation, with properties calculated at the PBE-GGA level.

Cell lengths 5.459, 5.459, 5.459 Å; angles 90.00, 90.00, 90.00 degrees
Positions (direct):
Ag 0.000 0.000 0.500
Ag 0.000 0.500 0.000
Ag 0.500 0.000 0.000
I 0.000 0.000 0.000
O 0.500 0.500 0.500

Computed properties:
**Polymorph energy (0 for the lowest one)**: 1047 meV/atom
**SG**: Pm-3m, No. 221
**E_form (uncorrected)**: 1.017 eV/atom



Entry 2:
Below is Ba2CaAg2 after structural relaxation, with properties calculated at the PBE-GGA level.

Cell lengths 9.771, 9.771, 3.804 Å; angles 90.00, 90.00, 90.00 degrees
Positions (direct):
Ba 0.141 0.359 0.000
Ba 0.359 0.859 0.000
Ba 0.641 0.141 0.000
Ba 0.859 0.641 0.000
Ca 0.000 0.000 0.000
Ca 0.500 0.500 0.000
Ag 0.157 0.657 0.500
Ag 0.343 0.157 0.500
Ag 0.657 0.843 0.500
Ag 0.843 0.343 0.500

Computed properties:
**ΔE_f**: -0.15 eV/f.u.
**Polymorph energy (0 for the lowest one)**: 211 meV/atom
**SG**: P4/mbm, No. 127



Entry 3:
Below is CdB3F after structural relaxation, with properties calculated at the PBE-GGA level.

Cell lengths 4.423, 4.423, 4.423 Å; angles 90.00, 90.00, 90.00 degrees
Positions (direct):
Cd 0.000 0.000 0.000
B 0.000 0.000 0.500
B 0.000 0.500 0.000
B 0.500 0.000 0.000
F 0.500 0.500 0.500

Computed properties:
**Polymorph energy (0 for the lowest one)**: 220 meV/atom
**SG**: Pm-3m, No. 221
**E_form (uncorrected)**: 2.043 eV/atom



Entry 4:
Below is BaNaSr2Pd after structural relaxation, with properties calculated at the PBE-GGA level.

Cell lengths 5.975, 5.975, 6.102 Å; angles 90.00, 90.00, 90.00 degrees
Positions (direct):
Ba 0.000 0.000 0.000
Na 0.500 0.500 0.000
Sr 0.000 0.500 0.500
Sr 0.500 0.000 0.500
Pd 0.500 0.500 0.500

Computed properties:
**ΔE_f**: -0.73 eV/f.u.
**Polymorph energy (0 for the lowest one)**: 130 meV/atom
**SG**: P4/mmm, No. 123



Entry 5:
Below is ZrInF2 after structural relaxation, with properties calculated at the PBE-GGA level.

Cell lengths 8.670, 8.670, 8.670 Å; angles 19.86, 19.86, 19.86 degrees
Positions (direct):
Zr 0.000 0.000 0.000
In 0.500 0.500 0.500
F 0.394 0.394 0.394
F 0.606 0.606 0.606

Computed properties:
**Polymorph energy (0 for the lowest one)**: 0 meV/atom
**SG**: R-3m, No. 166
**E_form (uncorrected)**: -1.895 eV/atom



Entry 6:
Below is LiCePrZn after structural relaxation, with properties calculated at the PBE-GGA level.

Cell lengths 5.242, 5.242, 5.242 Å; angles 60.00, 60.00, 60.00 degrees
Positions (direct):
Li 0.000 0.000 0.000
Ce 0.250 0.250 0.250
Pr 0.750 0.750 0.750
Zn 0.500 0.500 0.500

Computed properties:
**ΔE_f**: -0.03 eV/f.u.
**SG**: F-43m, No. 216